# PBE FeTcIr2Rh, relaxed
data_FeTcIr2Rh
_cell_length_a 4.649
_cell_length_b 4.649
_cell_length_c 4.378
_cell_angle_alpha 90.00
_cell_angle_beta 90.00
_cell_angle_gamma 90.00
_symmetry_space_group_name_H-M 'P 4/m m m'
_symmetry_Int_Tables_number 123
_symmetry_space_group_name_Hall '-P 4 2'
loop_
_atom_site_label
_atom_site_fract_x
_atom_site_fract_y
_atom_site_fract_z
Fe1 0.000 0.000 0.000
Tc1 0.000 0.000 0.500
Ir1 0.000 0.500 0.500
Rh1 0.500 0.500 0.000
# energy of formation from the pure elements: 1.69 eV per atom
# density: 11.25 Mg/m³
# total magnetic moment: 3.1 μB/cell
# uncorrected energy: -7.089 eV/atom

***

# PBE FeTcIrRh, relaxed
data_FeTcIrRh
_cell_length_a 4.113
_cell_length_b 2.675
_cell_length_c 10.025
_cell_angle_alpha 90.00
_cell_angle_beta 90.00
_cell_angle_gamma 90.00
_symmetry_space_group_name_H-M 'A m m 2'
_symmetry_Int_Tables_number 38
_symmetry_space_group_name_Hall 'A 2 -2'
loop_
_atom_site_label
_atom_site_fract_x
_atom_site_fract_y
_atom_site_fract_z
Fe1 0.000 0.000 0.000
Tc1 0.000 0.000 0.249
Ir1 0.500 0.000 0.606
Rh1 0.500 0.000 0.865
# energy of formation from the pure elements: 0.00 eV per atom
# density: 13.52 Mg/m³
# total magnetic moment: 4.4 μB/cell
# uncorrected energy: -8.761 eV/atom

***

# PBE Ti5Fe2IrRh2, relaxed
data_Ti5Fe2IrRh2
_cell_length_a 10.091
_cell_length_b 10.091
_cell_length_c 2.962
_cell_angle_alpha 90.00
_cell_angle_beta 90.00
_cell_angle_gamma 90.00
_symmetry_space_group_name_H-M 'P 4/m b m'
_symmetry_Int_Tables_number 127
_symmetry_space_group_name_Hall '-P 4 2ab'
loop_
_atom_site_label
_atom_site_fract_x
_atom_site_fract_y
_atom_site_fract_z
Ti1 0.000 0.500 0.000
Ti2 0.099 0.192 0.000
Fe1 0.130 0.370 0.500
Ir1 0.000 0.000 0.500
Rh1 0.168 0.668 0.500
# energy of formation from the pure elements: -0.35 eV per atom
# density: 8.25 Mg/m³
# total magnetic moment: 0.0 μB/cell
# uncorrected energy: -8.347 eV/atom

***

# PBE Ti5FeIr2Rh2, relaxed
data_Ti5FeIr2Rh2
_cell_length_a 10.312
_cell_length_b 10.312
_cell_length_c 2.910
_cell_angle_alpha 90.00
_cell_angle_beta 90.00
_cell_angle_gamma 90.00
_symmetry_space_group_name_H-M 'P 4/m b m'
_symmetry_Int_Tables_number 127
_symmetry_space_group_name_Hall '-P 4 2ab'
loop_
_atom_site_label
_atom_site_fract_x
_atom_site_fract_y
_atom_site_fract_z
Ti1 0.000 0.500 0.000
Ti2 0.008 0.199 0.000
Fe1 0.000 0.000 0.500
Ir1 0.163 0.663 0.500
Rh1 0.144 0.356 0.500
# energy of formation from the pure elements: -0.36 eV per atom
# density: 9.50 Mg/m³
# total magnetic moment: 0.0 μB/cell
# uncorrected energy: -8.396 eV/atom

***

# PBE TiFeIrRh, relaxed
data_TiFeIrRh
_cell_length_a 6.111
_cell_length_b 6.111
_cell_length_c 6.111
_cell_angle_alpha 90.00
_cell_angle_beta 90.00
_cell_angle_gamma 90.00
_symmetry_space_group_name_H-M 'F -4 3 m'
_symmetry_Int_Tables_number 216
_symmetry_space_group_name_Hall 'F -4 2 3'
loop_
_atom_site_label
_atom_site_fract_x
_atom_site_fract_y
_atom_site_fract_z
Ti1 0.000 0.000 0.000
Fe1 0.000 0.000 0.500
Ir1 0.250 0.250 0.750
Rh1 0.250 0.250 0.250
# energy of formation from the pure elements: -0.45 eV per atom
# density: 11.61 Mg/m³
# total magnetic moment: 15.7 μB/cell
# uncorrected energy: -8.597 eV/atom

***

# PBE V5Fe2Ir2Rh, relaxed
data_V5Fe2Ir2Rh
_cell_length_a 9.629
_cell_length_b 9.629
_cell_length_c 2.919
_cell_angle_alpha 90.00
_cell_angle_beta 90.00
_cell_angle_gamma 90.00
_symmetry_space_group_name_H-M 'P 4/m b m'
_symmetry_Int_Tables_number 127
_symmetry_space_group_name_Hall '-P 4 2ab'
loop_
_atom_site_label
_atom_site_fract_x
_atom_site_fract_y
_atom_site_fract_z
V1 0.000 0.500 0.000
V2 0.081 0.199 0.000
Fe1 0.130 0.370 0.500
Ir1 0.171 0.671 0.500
Rh1 0.000 0.000 0.500
# energy of formation from the pure elements: -0.04 eV per atom
# density: 10.48 Mg/m³
# total magnetic moment: 0.0 μB/cell
# uncorrected energy: -8.798 eV/atom

***

# PBE VFeIr2Rh, relaxed
data_VFeIr2Rh
_cell_length_a 4.498
_cell_length_b 4.498
_cell_length_c 4.378
_cell_angle_alpha 90.00
_cell_angle_beta 90.00
_cell_angle_gamma 90.00
_symmetry_space_group_name_H-M 'P 4/m m m'
_symmetry_Int_Tables_number 123
_symmetry_space_group_name_Hall '-P 4 2'
loop_
_atom_site_label
_atom_site_fract_x
_atom_site_fract_y
_atom_site_fract_z
V1 0.000 0.000 0.000
Fe1 0.500 0.500 0.500
Ir1 0.000 0.500 0.000
Rh1 0.000 0.000 0.500
# energy of formation from the pure elements: 1.45 eV per atom
# density: 11.14 Mg/m³
# total magnetic moment: 0.1 μB/cell
# uncorrected energy: -7.080 eV/atom

***

# PBE V5FeIr2Rh2, relaxed
data_V5FeIr2Rh2
_cell_length_a 10.292
_cell_length_b 10.292
_cell_length_c 2.745
_cell_angle_alpha 90.00
_cell_angle_beta 90.00
_cell_angle_gamma 90.00
_symmetry_space_group_name_H-M 'P 4/m b m'
_symmetry_Int_Tables_number 127
_symmetry_space_group_name_Hall '-P 4 2ab'
loop_
_atom_site_label
_atom_site_fract_x
_atom_site_fract_y
_atom_site_fract_z
V1 0.000 0.500 0.000
V2 0.138 0.140 0.000
Fe1 0.000 0.000 0.500
Ir1 0.150 0.350 0.500
Rh1 0.151 0.651 0.500
# energy of formation from the pure elements: -0.07 eV per atom
# density: 10.29 Mg/m³
# total magnetic moment: 0.0 μB/cell
# uncorrected energy: -8.720 eV/atom

***

# PBE FeIrRhW, relaxed
data_FeIrRhW
_cell_length_a 3.874
_cell_length_b 3.874
_cell_length_c 7.526
_cell_angle_alpha 90.00
_cell_angle_beta 90.00
_cell_angle_gamma 90.00
_symmetry_space_group_name_H-M 'I -4 m 2'
_symmetry_Int_Tables_number 119
_symmetry_space_group_name_Hall 'I -4 -2'
loop_
_atom_site_label
_atom_site_fract_x
_atom_site_fract_y
_atom_site_fract_z
Fe1 0.000 0.000 0.000
Ir1 0.000 0.500 0.750
Rh1 0.000 0.500 0.250
W1 0.000 0.000 0.500
# energy of formation from the pure elements: -0.21 eV per atom
# density: 15.73 Mg/m³
# total magnetic moment: 4.8 μB/cell
# uncorrected energy: -9.615 eV/atom

***

# PBE ZrFeIrRh, relaxed
data_ZrFeIrRh
_cell_length_a 6.335
_cell_length_b 6.335
_cell_length_c 6.335
_cell_angle_alpha 90.00
_cell_angle_beta 90.00
_cell_angle_gamma 90.00
_symmetry_space_group_name_H-M 'F -4 3 m'
_symmetry_Int_Tables_number 216
_symmetry_space_group_name_Hall 'F -4 2 3'
loop_
_atom_site_label
_atom_site_fract_x
_atom_site_fract_y
_atom_site_fract_z
Zr1 0.000 0.000 0.000
Fe1 0.000 0.000 0.500
Ir1 0.250 0.250 0.250
Rh1 0.250 0.250 0.750
# energy of formation from the pure elements: -0.40 eV per atom
# density: 11.55 Mg/m³
# total magnetic moment: 15.6 μB/cell
# uncorrected energy: -8.703 eV/atom

***

# PBE Fe2IrRu, relaxed
data_Fe2IrRu
_cell_length_a 3.708
_cell_length_b 3.708
_cell_length_c 7.218
_cell_angle_alpha 90.00
_cell_angle_beta 90.00
_cell_angle_gamma 90.00
_symmetry_space_group_name_H-M 'I 4/m m m'
_symmetry_Int_Tables_number 139
_symmetry_space_group_name_Hall '-I 4 2'
loop_
_atom_site_label
_atom_site_fract_x
_atom_site_fract_y
_atom_site_fract_z
Fe1 0.000 0.500 0.250
Ir1 0.000 0.000 0.000
Ru1 0.000 0.000 0.500
# energy of formation from the pure elements: 0.09 eV per atom
# density: 13.55 Mg/m³
# total magnetic moment: 1.3 μB/cell
# uncorrected energy: -8.679 eV/atom

***

# PBE Fe2Ir2Ru, relaxed
data_Fe2Ir2Ru
_cell_length_a 7.006
_cell_length_b 7.006
_cell_length_c 2.676
_cell_angle_alpha 90.00
_cell_angle_beta 90.00
_cell_angle_gamma 90.00
_symmetry_space_group_name_H-M 'P 4/m b m'
_symmetry_Int_Tables_number 127
_symmetry_space_group_name_Hall '-P 4 2ab'
loop_
_atom_site_label
_atom_site_fract_x
_atom_site_fract_y
_atom_site_fract_z
Fe1 0.119 0.381 0.000
Ir1 0.176 0.676 0.500
Ru1 0.000 0.000 0.000
# energy of formation from the pure elements: 0.22 eV per atom
# offset from the most stable computed form: 104 meV/atom
# density: 15.10 Mg/m³
# total magnetic moment: 0.0 μB/cell
# uncorrected energy: -8.565 eV/atom

***

- Number 2 is which compound?
  FeTcIrRh

***

- Which of these has the lowest energy of formation from the pure elements?
  TiFeIrRh